No. 1
Computed, not measured: a relaxed CsLiZr2 crystal at the PBE-GGA level of DFT.

Properties
Total magnetization ... 0.000 μB per formula unit
Energy of formation ... 1.241 eV per atom
V ... 24.451 Å³/atom

a = 5.172 Å, b = 5.172 Å, c = 5.172 Å
α = 60.00°, β = 60.00°, γ = 60.00°
Sites, in units of the cell vectors:
1 Cs 0.000 0.000 0.000
2 Li 0.500 0.500 0.500
3 Zr 0.250 0.250 0.250
4 Zr 0.750 0.750 0.750

---

No. 2
Computed, not measured: a relaxed CsLiZr3 crystal at the PBE-GGA level of DFT.

Properties
Total magnetization ... 0.000 μB per formula unit
Energy of formation ... 1.926 eV per atom
V ... 30.352 Å³/atom

a = 5.334 Å, b = 5.334 Å, c = 5.334 Å
α = 90.00°, β = 90.00°, γ = 90.00°
Sites, in units of the cell vectors:
1 Cs 0.000 0.000 0.000
2 Li 0.500 0.500 0.500
3 Zr 0.000 0.000 0.500
4 Zr 0.000 0.500 0.000
5 Zr 0.500 0.000 0.000